Record 1
This record from the Alexandria database describes a relaxed Pm4ScSn2 crystal. The functional is PBE.

Calculated values
The density of states at the Fermi level comes out at 8.74 states/eV per cell. Its space group is No. 166. As for the electronic total energy: -35.34 eV/cell. The value obtained for the formation energy is -1.999 eV per formula unit.

Lattice parameters (Å, degrees): 5.4148 5.4148 9.6938 73.78 73.78 60.00
Fractional positions:
Pm (0.7196, 0.7196, 0.8413)
Pm (0.8739, 0.8739, 0.3784)
Pm (0.2804, 0.2804, 0.1587)
Pm (0.1261, 0.1261, 0.6216)
Sc (0.5000, 0.5000, 0.5000)
Sn (0.6042, 0.6042, 0.1873)
Sn (0.3958, 0.3958, 0.8127)

***

Record 2
This record from the Alexandria database describes a relaxed KC2F crystal. The functional is PBE.

Calculated values
Its offset from the most stable computed form is 2.191 eV per atom. As for the uncorrected formation energy: 2.566 eV per atom. The density of states at the Fermi level comes out at 3.08 states/eV per cell. Its space group is No. 225. As for the electronic total energy: -11.15 eV/cell.

Lattice parameters (Å, degrees): 4.6354 4.6354 4.6354 60.00 60.00 60.00
Last column: magnetic moment on the atom in μB.
Fractional positions:
K (0.5000, 0.5000, 0.5000)  0.07
C (0.2500, 0.2500, 0.2500)  0.93
C (0.7500, 0.7500, 0.7500)  0.93
F (0.0000, 0.0000, 0.0000)  0.20

***

Record 3
This record from the Alexandria database describes a relaxed La4Pm crystal. The functional is PBE.

Calculated values
Its offset from the most stable computed form is 0.500 eV per atom. The density of states at the Fermi level comes out at 9.62 states/eV per cell. Its space group is No. 221. As for the electronic total energy: -21.89 eV/cell. The value obtained for the formation energy is 2.569 eV per formula unit.

Lattice parameters (Å, degrees): 5.9412 5.9412 5.9412 90.00 90.00 90.00
Last column: magnetic moment on the atom in μB.
Fractional positions:
La (0.0000, 0.0000, 0.0000)  0.08
La (0.5000, 0.0000, 0.5000)  0.12
La (0.0000, 0.5000, 0.5000)  0.12
La (0.5000, 0.5000, 0.0000)  0.12
Pm (0.5000, 0.5000, 0.5000)  0.27

***

Record 4
This record from the Alexandria database describes a relaxed Pr4SmCd crystal. The functional is PBE.

Calculated values
Its offset from the most stable computed form is 0.000 eV per atom. The density of states at the Fermi level comes out at 7.72 states/eV per cell. Its space group is No. 123. As for the electronic total energy: -25.34 eV/cell. The value obtained for the formation energy is -0.584 eV per formula unit.

Lattice parameters (Å, degrees): 3.7274 3.7274 14.4803 90.00 90.00 90.00
Fractional positions:
Pr (0.5000, 0.5000, 0.1764)
Pr (0.0000, 0.0000, 0.6451)
Pr (0.0000, 0.0000, 0.3549)
Pr (0.5000, 0.5000, 0.8236)
Sm (0.0000, 0.0000, 0.0000)
Cd (0.5000, 0.5000, 0.5000)

***

Record 5
This record from the Alexandria database describes a relaxed YHf2Fe crystal. The functional is PBE.

Calculated values
Its offset from the most stable computed form is 1.074 eV per atom. The density of states at the Fermi level comes out at 13.36 states/eV per cell. Its space group is No. 141. As for the electronic total energy: -60.95 eV/cell. The value obtained for the formation energy is 4.361 eV per formula unit.

Lattice parameters (Å, degrees): 5.2887 5.2887 8.9425 72.80 72.80 90.00
Last column: magnetic moment on the atom in μB.
Fractional positions:
Y (0.0000, 0.0000, 0.0000)  0.01
Y (0.7500, 0.2500, 0.5000)  0.01
Hf (0.3757, 0.1250, 0.2500)  -0.07
Hf (0.3743, 0.6250, 0.2500)  -0.07
Hf (0.3750, 0.6243, 0.7500)  -0.08
Hf (0.8750, 0.6257, 0.7500)  -0.08
Fe (0.5000, 0.5000, 0.0000)  0.89
Fe (0.2500, 0.7500, 0.5000)  0.89

***

Record 6
This record from the Alexandria database describes a relaxed Pm4Nd2ErTh crystal. The functional is PBE.

Calculated values
The density of states at the Fermi level comes out at 15.93 states/eV per cell. Its space group is No. 10. As for the electronic total energy: -39.44 eV/cell. The value obtained for the formation energy is 1.079 eV per formula unit.

Lattice parameters (Å, degrees): 6.0811 6.0753 9.5005 50.35 90.00 90.00
Fractional positions:
Pm (0.0000, 0.7467, 0.7535)
Pm (0.0000, 0.2533, 0.2465)
Pm (0.5000, 0.7532, 0.2469)
Pm (0.5000, 0.2468, 0.7531)
Nd (0.0000, 0.0000, 0.0000)
Nd (0.5000, 0.0000, 0.5000)
Er (0.0000, 0.5000, 0.5000)
Th (0.5000, 0.5000, 0.0000)

***

Record 7
This record from the Alexandria database describes a relaxed BaHgBiSe3 crystal. The functional is PBE.

Calculated values
As for the uncorrected formation energy: -0.735 eV per atom. The density of states at the Fermi level comes out at 5.30 states/eV per cell. Its space group is No. 11. As for the electronic total energy: -41.94 eV/cell.

Lattice parameters (Å, degrees): 4.8165 8.3652 9.7256 102.55 90.00 90.00
Fractional positions:
Ba (0.2500, 0.1946, 0.2350)
Ba (0.7500, 0.8054, 0.7650)
Hg (0.2500, 0.1296, 0.5932)
Hg (0.7500, 0.8704, 0.4068)
Bi (0.2500, 0.6737, 0.1364)
Bi (0.7500, 0.3263, 0.8636)
Se (0.7500, 0.8978, 0.1225)
Se (0.2500, 0.1022, 0.8775)
Se (0.2500, 0.7592, 0.4830)
Se (0.7500, 0.2408, 0.5170)
Se (0.7500, 0.4447, 0.1550)
Se (0.2500, 0.5553, 0.8450)

***

Record 8
This record from the Alexandria database describes a relaxed Sr3TlBi crystal. The functional is PBE.

Calculated values
Its offset from the most stable computed form is 0.000 eV per atom. The density of states at the Fermi level comes out at 13.12 states/eV per cell. Its space group is No. 14. As for the electronic total energy: -56.24 eV/cell. The value obtained for the formation energy is -2.768 eV per formula unit.

Lattice parameters (Å, degrees): 8.9118 11.2914 10.3348 129.33 90.00 90.00
Fractional positions:
Sr (0.9919, 0.2802, 0.3145)
Sr (0.0081, 0.7198, 0.6855)
Sr (0.4919, 0.2198, 0.1855)
Sr (0.5081, 0.7802, 0.8145)
Sr (0.3580, 0.5995, 0.3260)
Sr (0.6420, 0.4005, 0.6740)
Sr (0.8580, 0.9005, 0.1740)
Sr (0.1420, 0.0995, 0.8260)
Sr (0.6911, 0.9474, 0.5793)
Sr (0.3089, 0.0526, 0.4207)
Sr (0.1911, 0.5526, 0.9207)
Sr (0.8089, 0.4474, 0.0793)
Tl (0.4540, 0.2981, 0.8886)
Tl (0.5460, 0.7019, 0.1114)
Tl (0.9540, 0.2019, 0.6113)
Tl (0.0460, 0.7981, 0.3886)
Bi (0.7035, 0.5506, 0.4523)
Bi (0.2965, 0.4494, 0.5477)
Bi (0.2035, 0.9494, 0.0477)
Bi (0.7965, 0.0506, 0.9523)